The following is a DFT calculation (PBE-GGA) of an optimized crystal structure of NdEr3Ru4.

Geometry as POSCAR:
```
NdEr3Ru4
1.0
2.403 1.387 7.886
-2.403 1.387 7.886
0.000 -2.775 7.886
Nd Er Ru
1 3 4
direct
0.000 0.000 0.000 Nd
0.248 0.248 0.248 Er
0.500 0.500 0.500 Er
0.752 0.752 0.752 Er
0.126 0.126 0.126 Ru
0.376 0.376 0.376 Ru
0.624 0.624 0.624 Ru
0.874 0.874 0.874 Ru
```

Results
- ρ (kg/m³) = 11056
- magnetic moment (μB/f.u.) = 0.00
- formation enthalpy at 0 K (eV/atom) = -0.2971
- space-group type = No. 166